Compound: TbPr9Tl2
Source: the Alexandria database
Functional: GGA-PBE
Structure: relaxed

The space group is P4/mmm (No. 123) and the conventional cell measures 5.051, 5.051 and 15.529 Å, with angles of 90.00, 90.00 and 90.00 degrees. The distinct sites, in fractional coordinates, are Tb at (0.000, 0.000, 0.000), Pr at (0.000, 0.500, 0.173), Pr at (0.000, 0.500, 0.500), Pr at (0.500, 0.500, 0.000), Pr at (0.500, 0.500, 0.337) and Tl at (0.000, 0.000, 0.339).

The value obtained for the total magnetization is 0.00 μB/cell. The calculation puts the density at 7.69 g cm⁻³. For the total DFT energy (no corrections), the calculation gives -53.9 eV for the cell shown. For the volume, the calculation gives 33.02 Å³ per atom.